No. 1
A plane-wave DFT calculation with PBE was carried out for Mg2TeW after structural relaxation.

## Properties
E_tot: -4.48 eV per atom
ΔE_f (raw): 0.336 eV/atom

Geometry as CIF:
```
data_Mg2TeW
_space_group_name_H-M_alt 'P 1'
_space_group_IT_number 1
_space_group_name_Hall 'P 1'
_cell_length_a 3.5390
_cell_length_b 3.5390
_cell_length_c 6.3480
_cell_angle_alpha 90.00
_cell_angle_beta 90.00
_cell_angle_gamma 90.00
loop_
_atom_site_label
_atom_site_type_symbol
_atom_site_fract_x
_atom_site_fract_y
_atom_site_fract_z
Mg1 Mg 0.0000 0.0000 0.9843
Mg2 Mg 0.5000 0.5000 0.2448
Te1 Te 0.0000 0.0000 0.5304
W1 W 0.5000 0.5000 0.7404
```

No. 2
A plane-wave DFT calculation with PBE was carried out for MgTeW2 after structural relaxation.

## Properties
ΔE to the lowest computed polymorph: 208 meV per atom
E_tot: -7.07 eV per atom
ΔE_f (raw): 0.587 eV/atom

Geometry as CIF:
```
data_MgTeW2
_space_group_name_H-M_alt 'P 1'
_space_group_IT_number 1
_space_group_name_Hall 'P 1'
_cell_length_a 5.1039
_cell_length_b 5.1039
_cell_length_c 4.7179
_cell_angle_alpha 82.60
_cell_angle_beta 82.60
_cell_angle_gamma 37.16
loop_
_atom_site_label
_atom_site_type_symbol
_atom_site_fract_x
_atom_site_fract_y
_atom_site_fract_z
Mg1 Mg 0.7500 0.7500 0.7500
Te1 Te 0.2500 0.2500 0.2500
W1 W 0.9986 0.9986 0.9773
W2 W 0.5014 0.5014 0.5227
```

No. 3
A plane-wave DFT calculation with PBE was carried out for Mg2TeW after structural relaxation.

## Properties
E_tot: -4.24 eV per atom
ΔE_f (raw): 0.585 eV/atom

Geometry as CIF:
```
data_Mg2TeW
_space_group_name_H-M_alt 'P 1'
_space_group_IT_number 1
_space_group_name_Hall 'P 1'
_cell_length_a 4.9147
_cell_length_b 3.0386
_cell_length_c 5.4926
_cell_angle_alpha 77.65
_cell_angle_beta 90.00
_cell_angle_gamma 90.00
loop_
_atom_site_label
_atom_site_type_symbol
_atom_site_fract_x
_atom_site_fract_y
_atom_site_fract_z
Mg1 Mg 0.0000 0.0119 0.9846
Mg2 Mg 0.0000 0.4881 0.5154
Te1 Te 0.5000 0.2500 0.2500
W1 W 0.5000 0.7500 0.7500
```